*1*
First-principles (PBE) data for crystalline HfTaGe2 at its relaxed geometry, as listed in Alexandria via LeMat-Bulk.

Results
Space-group type: No. 122
Magnetic moment: 0.00 μB per formula unit

Cell lengths 7.2606, 7.2606, 7.2606 Å; angles 131.19, 131.19, 71.51 degrees
Last column: nearest neighbours and their distance in Å.
Sites, in units of the cell vectors:
Hf 0.0000 0.0000 0.0000  4 Ge 2.64
Hf 0.7500 0.2500 0.5000  4 Ge 2.64
Ta 0.2500 0.7500 0.5000  4 Ge 2.53
Ta 0.5000 0.5000 0.0000  4 Ge 2.53
Ge 0.1418 0.6250 0.0168  2 Ta 2.53, 2 Hf 2.64
Ge 0.3750 0.3918 0.5168  2 Ta 2.53, 2 Hf 2.64
Ge 0.6082 0.1250 0.9832  2 Ta 2.53, 2 Hf 2.64
Ge 0.8750 0.8582 0.4832  2 Ta 2.53, 2 Hf 2.64



*2*
First-principles (PBE) data for crystalline HfTaGe2 at its relaxed geometry, as listed in Alexandria via LeMat-Bulk.

Results
Space-group type: No. 225
Magnetic moment: 0.00 μB per formula unit

Cell lengths 4.6362, 4.6362, 4.6362 Å; angles 60.00, 60.00, 60.00 degrees
Last column: nearest neighbours and their distance in Å.
Sites, in units of the cell vectors:
Hf 0.0000 0.0000 0.0000  8 Ge 2.84
Ta 0.5000 0.5000 0.5000  8 Ge 2.84
Ge 0.2500 0.2500 0.2500  4 Hf 2.84, 4 Ta 2.84
Ge 0.7500 0.7500 0.7500  4 Hf 2.84, 4 Ta 2.84



Pick *2*: it beats the second-best structure by 75.5 kJ/mol of atoms.



*1*
First-principles (PBE) data for crystalline HfTaGe2 at its relaxed geometry, as listed in Alexandria via LeMat-Bulk.

Results
Space-group type: No. 166
Magnetic moment: 0.00 μB per formula unit

Cell lengths 6.5870, 6.5870, 6.5870 Å; angles 33.16, 33.16, 33.16 degrees
Last column: nearest neighbours and their distance in Å.
Sites, in units of the cell vectors:
Hf 0.0000 0.0000 0.0000  6 Ge 2.70
Ta 0.5000 0.5000 0.5000  6 Ge 2.64
Ge 0.2471 0.2471 0.2471  3 Ta 2.64, 3 Hf 2.70
Ge 0.7529 0.7529 0.7529  3 Ta 2.64, 3 Hf 2.70



*2*
First-principles (PBE) data for crystalline HfTaGe2 at its relaxed geometry, as listed in Alexandria via LeMat-Bulk.

Results
Space-group type: No. 160
Magnetic moment: 0.00 μB per formula unit

Cell lengths 6.8131, 6.8131, 6.8131 Å; angles 31.62, 31.62, 31.62 degrees
Last column: nearest neighbours and their distance in Å.
Sites, in units of the cell vectors:
Hf 0.0000 0.0000 0.0000  6 Ge 2.66-2.77
Ta 0.1740 0.1740 0.1740  6 Ge 2.63-2.69
Ge 0.4236 0.4236 0.4236  3 Ta 2.69, 3 Hf 2.77
Ge 0.5856 0.5856 0.5856  3 Ta 2.63, 3 Hf 2.66



Pick *1*: it beats the second-best structure by 1.4 kJ/mol of atoms.



*1*
First-principles (PBE) data for crystalline HfTa3Ge at its relaxed geometry, as listed in Alexandria via LeMat-Bulk.

Results
Space-group type: No. 221
Magnetic moment: 0.00 μB per formula unit

Cell lengths 4.7562, 4.7562, 4.7562 Å; angles 90.00, 90.00, 90.00 degrees
Last column: nearest neighbours and their distance in Å.
Sites, in units of the cell vectors:
Hf 0.0000 0.0000 0.0000  12 Ta 3.36
Ta 0.0000 0.5000 0.5000  2 Ge 2.38
Ta 0.5000 0.0000 0.5000  2 Ge 2.38
Ta 0.5000 0.5000 0.0000  2 Ge 2.38
Ge 0.5000 0.5000 0.5000  6 Ta 2.38



*2*
First-principles (PBE) data for crystalline HfTa3Ge at its relaxed geometry, as listed in Alexandria via LeMat-Bulk.

Results
Space-group type: No. 221
Magnetic moment: 0.00 μB per formula unit

Cell lengths 4.9158, 4.9158, 4.9158 Å; angles 90.00, 90.00, 90.00 degrees
Last column: nearest neighbours and their distance in Å.
Sites, in units of the cell vectors:
Hf 0.0000 0.0000 0.0000  6 Ta 2.46
Ta 0.0000 0.0000 0.5000  2 Hf 2.46
Ta 0.0000 0.5000 0.0000  2 Hf 2.46
Ta 0.5000 0.0000 0.0000  2 Hf 2.46
Ge 0.5000 0.5000 0.5000  12 Ta 3.48



*3*
First-principles (PBE) data for crystalline HfTa3Ge at its relaxed geometry, as listed in Alexandria via LeMat-Bulk.

Results
Space-group type: No. 8
Magnetic moment: 0.00 μB per formula unit

Cell lengths 4.9802, 4.9802, 6.2349 Å; angles 125.92, 125.92, 52.08 degrees
Last column: nearest neighbours and their distance in Å.
Sites, in units of the cell vectors:
Hf 0.0000 0.0000 0.0000  3 Ge 2.86-2.96, 9 Ta 2.93-3.14
Ta 0.2199 0.2199 0.6103  3 Ge 2.84-2.96, 6 Ta 2.90-3.12, 3 Hf 2.93-3.00
Ta 0.4060 0.4060 0.2136  6 Ta 2.81-3.12, 3 Ge 2.84-3.09, 3 Hf 2.94-2.95
Ta 0.8198 0.8198 0.3998  6 Ta 2.81-3.07, 3 Ge 2.87-3.04, 3 Hf 2.95-3.14
Ge 0.6074 0.6074 0.8018  9 Ta 2.84-3.09, 3 Hf 2.86-2.96



Pick *3*: it beats the second-best structure by 75.6 kJ/mol of atoms.



*1*
First-principles (PBE) data for crystalline Hf3TaGe at its relaxed geometry, as listed in Alexandria via LeMat-Bulk.

Results
Space-group type: No. 221
Magnetic moment: 0.00 μB per formula unit

Cell lengths 4.9047, 4.9047, 4.9047 Å; angles 90.00, 90.00, 90.00 degrees
Last column: nearest neighbours and their distance in Å.
Sites, in units of the cell vectors:
Hf 0.0000 0.0000 0.5000  2 Ge 2.45
Hf 0.0000 0.5000 0.0000  2 Ge 2.45
Hf 0.5000 0.0000 0.0000  2 Ge 2.45
Ta 0.5000 0.5000 0.5000  12 Hf 3.47
Ge 0.0000 0.0000 0.0000  6 Hf 2.45



*2*
First-principles (PBE) data for crystalline Hf3TaGe at its relaxed geometry, as listed in Alexandria via LeMat-Bulk.

Results
Space-group type: No. 221
Magnetic moment: 0.00 μB per formula unit

Cell lengths 5.0824, 5.0824, 5.0824 Å; angles 90.00, 90.00, 90.00 degrees
Last column: nearest neighbours and their distance in Å.
Sites, in units of the cell vectors:
Hf 0.0000 0.0000 0.5000  2 Ta 2.54
Hf 0.0000 0.5000 0.0000  2 Ta 2.54
Hf 0.5000 0.0000 0.0000  2 Ta 2.54
Ta 0.0000 0.0000 0.0000  6 Hf 2.54
Ge 0.5000 0.5000 0.5000  12 Hf 3.59



Pick *1*: it beats the second-best structure by 47.6 kJ/mol of atoms.



*1*
First-principles (PBE) data for crystalline HfTcGe2 at its relaxed geometry, as listed in Alexandria via LeMat-Bulk.

Results
Space-group type: No. 123
Magnetic moment: 0.00 μB per formula unit

Cell lengths 3.1314, 3.1314, 6.6877 Å; angles 90.00, 90.00, 90.00 degrees
Last column: nearest neighbours and their distance in Å.
Sites, in units of the cell vectors:
Hf 0.0000 0.0000 0.0000  8 Ge 2.92, 4 Hf 3.13
Tc 0.0000 0.0000 0.5000  8 Ge 2.64
Ge 0.5000 0.5000 0.2849  4 Tc 2.64, 1 Ge 2.88, 4 Hf 2.92
Ge 0.5000 0.5000 0.7151  4 Tc 2.64, 1 Ge 2.88, 4 Hf 2.92



*2*
First-principles (PBE) data for crystalline HfTcGe2 at its relaxed geometry, as listed in Alexandria via LeMat-Bulk.

Results
Space-group type: No. 166
Magnetic moment: 0.00 μB per formula unit

Cell lengths 5.0121, 5.0121, 5.0121 Å; angles 49.84, 49.84, 49.84 degrees
Last column: nearest neighbours and their distance in Å.
Sites, in units of the cell vectors:
Hf 0.0000 0.0000 0.0000  8 Ge 2.79-3.02
Tc 0.5000 0.5000 0.5000  6 Ge 2.57
Ge 0.2295 0.2295 0.2295  3 Tc 2.57, 3 Hf 2.79
Ge 0.7705 0.7705 0.7705  3 Tc 2.57, 3 Hf 2.79



Pick *1*: it beats the second-best structure by 0.7 kJ/mol of atoms.



*1*
First-principles (PBE) data for crystalline Hf2TcGe4 at its relaxed geometry, as listed in Alexandria via LeMat-Bulk.

Results
Space-group type: No. 139
Magnetic moment: 0.00 μB per formula unit

Cell lengths 7.3992, 7.3992, 7.3992 Å; angles 142.11, 142.11, 54.66 degrees
Last column: nearest neighbours and their distance in Å.
Sites, in units of the cell vectors:
Hf 0.1090 0.1090 0.0000  5 Ge 2.63-2.80, 1 Hf 2.87
Hf 0.8910 0.8910 0.0000  5 Ge 2.63-2.80, 1 Hf 2.87
Tc 0.5000 0.5000 0.0000  6 Ge 2.40-2.51
Ge 0.0000 0.5000 0.5000  2 Tc 2.40
Ge 0.3092 0.3092 0.0000  1 Tc 2.51, 1 Hf 2.63
Ge 0.5000 0.0000 0.5000  2 Tc 2.40
Ge 0.6908 0.6908 0.0000  1 Tc 2.51, 1 Hf 2.63



*2*
First-principles (PBE) data for crystalline Hf2TcGe4 at its relaxed geometry, as listed in Alexandria via LeMat-Bulk.

Results
Space-group type: No. 115
Magnetic moment: 0.00 μB per formula unit

Cell lengths 3.7573, 3.7573, 9.3361 Å; angles 90.00, 90.00, 90.00 degrees
Last column: nearest neighbours and their distance in Å.
Sites, in units of the cell vectors:
Hf 0.0000 0.5000 0.2335  8 Ge 2.81-2.88, 2 Tc 3.12
Hf 0.5000 0.0000 0.7665  8 Ge 2.81-2.88, 2 Tc 3.12
Tc 0.0000 0.0000 0.5000  4 Ge 2.45
Ge 0.0000 0.0000 0.0000  4 Ge 2.66, 4 Hf 2.88
Ge 0.0000 0.5000 0.6686  2 Tc 2.45
Ge 0.5000 0.0000 0.3314  2 Tc 2.45
Ge 0.5000 0.5000 0.0000  4 Ge 2.66, 4 Hf 2.88



Pick *2*: it beats the second-best structure by 42.1 kJ/mol of atoms.



*1*
First-principles (PBE) data for crystalline Hf2TcGe2 at its relaxed geometry, as listed in Alexandria via LeMat-Bulk.

Results
Space-group type: No. 71
Magnetic moment: 0.00 μB per formula unit

Cell lengths 5.2699, 5.2699, 5.2699 Å; angles 135.64, 117.37, 79.94 degrees
Last column: nearest neighbours and their distance in Å.
Sites, in units of the cell vectors:
Hf 0.2105 0.2105 0.0000  6 Ge 2.78-2.89, 2 Tc 3.07
Hf 0.7895 0.7895 0.0000  6 Ge 2.78-2.89, 2 Tc 3.07
Tc 0.5000 0.0000 0.5000  4 Ge 2.50
Ge 0.2246 0.5000 0.7246  1 Ge 2.46, 2 Tc 2.50
Ge 0.7754 0.5000 0.2754  1 Ge 2.46, 2 Tc 2.50



*2*
First-principles (PBE) data for crystalline Hf2TcGe2 at its relaxed geometry, as listed in Alexandria via LeMat-Bulk.

Results
Space-group type: No. 127
Magnetic moment: 0.32 μB per formula unit

Cell lengths 6.6449, 6.6449, 3.9343 Å; angles 90.00, 90.00, 90.00 degrees
Last column: nearest neighbours and their distance in Å.
Sites, in units of the cell vectors:
Hf 0.1715 0.3285 0.0000  6 Ge 2.68-2.84
Hf 0.3285 0.8285 0.0000  6 Ge 2.68-2.84
Hf 0.6715 0.1715 0.0000  6 Ge 2.68-2.84
Hf 0.8285 0.6715 0.0000  6 Ge 2.68-2.84
Tc 0.0000 0.0000 0.5000  4 Ge 2.59
Tc 0.5000 0.5000 0.5000  4 Ge 2.59
Ge 0.1352 0.6352 0.5000  1 Ge 2.54, 2 Tc 2.59, 6 Hf 2.68-2.84
Ge 0.3648 0.1352 0.5000  1 Ge 2.54, 2 Tc 2.59, 6 Hf 2.68-2.84
Ge 0.6352 0.8648 0.5000  1 Ge 2.54, 2 Tc 2.59, 6 Hf 2.68-2.84
Ge 0.8648 0.3648 0.5000  1 Ge 2.54, 2 Tc 2.59, 6 Hf 2.68-2.84



Pick *2*: it beats the second-best structure by 6.5 kJ/mol of atoms.



*1*
First-principles (PBE) data for crystalline Hf2GeTe at its relaxed geometry, as listed in Alexandria via LeMat-Bulk.

Results
Space-group type: No. 160
Magnetic moment: 0.00 μB per formula unit

Cell lengths 7.1873, 7.1873, 7.1873 Å; angles 31.24, 31.24, 31.24 degrees
Last column: nearest neighbours and their distance in Å.
Sites, in units of the cell vectors:
Hf 0.0000 0.0000 0.0000  3 Ge 2.68, 3 Te 2.99
Hf 0.1927 0.1927 0.1927  3 Ge 2.64
Ge 0.5945 0.5945 0.5945  6 Hf 2.64-2.68
Te 0.7632 0.7632 0.7632  6 Hf 2.98-2.99



*2*
First-principles (PBE) data for crystalline Hf2GeTe at its relaxed geometry, as listed in Alexandria via LeMat-Bulk.

Results
Space-group type: No. 122
Magnetic moment: 0.00 μB per formula unit

Cell lengths 7.6812, 7.6812, 7.6812 Å; angles 132.35, 132.35, 69.67 degrees
Last column: nearest neighbours and their distance in Å.
Sites, in units of the cell vectors:
Hf 0.0874 0.6250 0.9624  2 Ge 2.57, 2 Te 2.84
Hf 0.3750 0.3374 0.4624  2 Ge 2.57, 2 Te 2.84
Hf 0.6626 0.1250 0.0376  2 Ge 2.57, 2 Te 2.84
Hf 0.8750 0.9126 0.5376  2 Ge 2.57, 2 Te 2.84
Ge 0.0000 0.0000 0.0000  4 Hf 2.57
Ge 0.7500 0.2500 0.5000  4 Hf 2.57
Te 0.2500 0.7500 0.5000  4 Hf 2.84
Te 0.5000 0.5000 0.0000  4 Hf 2.84



Pick *1*: it beats the second-best structure by 75.6 kJ/mol of atoms.